{"formula": "InRe2Hg", "functional": "PBE", "state": "relaxed", "dos_at_fermi_per_ev_atom": 0.789, "final_energy_ev_per_atom": -6.18, "magnetic_moment_mub_per_cell": 0.00, "ef_ev_per_fu": 3.209, "cell": [[-1.670, -1.347, -4.555], [1.141, -2.268, -4.348], [-1.601, -4.674, 0.949]], "species": ["Hg", "In", "Re", "Re"], "frac_coords": [[0.250, 0.250, 0.250], [0.750, 0.750, 0.750], [0.002, 0.002, 0.984], [0.498, 0.498, 0.516]]}